Entry from Alexandria: Te5C3 after structural relaxation (PBE).

POSCAR file:
```
Te5C3
1.0
-5.625 -6.841 5.443
4.315 1.105 5.848
-3.901 4.286 1.355
C Te
6 10
Direct
0.250 0.363 0.563
0.750 0.637 0.437
0.250 0.979 0.354
0.250 0.619 0.118
0.750 0.381 0.882
0.750 0.021 0.646
0.908 0.830 0.552
0.408 0.170 0.448
0.092 0.170 0.448
0.592 0.830 0.552
0.250 0.667 0.478
0.750 0.333 0.522
0.250 0.875 0.000
0.250 0.365 0.940
0.750 0.635 0.060
0.750 0.125 0.000
```

Its raw formation energy is 106 kJ/mol of atoms. The value obtained for the density of states at the Fermi level is 1.13 states/eV/f.u. The value obtained for the total energy is -34.63 eV/f.u.